Ac7Pm4Dy | GGA-PBE | relaxed

Output
Total moment ... 0.00 μB/cell

Cell lengths 6.710, 7.702, 9.605 Å; angles 89.59, 76.72, 89.88 degrees
Positions (direct):
Ac 0.000 0.000 0.000
Ac 0.219 0.500 0.332
Ac 0.282 0.754 0.664
Ac 0.497 0.249 0.995
Ac 0.503 0.751 0.005
Ac 0.718 0.246 0.336
Ac 0.781 0.500 0.668
Pm 0.220 0.000 0.335
Pm 0.274 0.249 0.669
Pm 0.726 0.751 0.331
Pm 0.780 0.000 0.665
Dy 0.000 0.500 0.000

=====

Ac3Pm2Dy2 | GGA-PBE | relaxed

Output
Total moment ... 0.00 μB/cell

Cell lengths 12.888, 12.888, 3.738 Å; angles 90.00, 90.00, 154.70 degrees
Positions (direct):
Ac 0.000 0.000 0.000
Ac 0.154 0.846 0.000
Ac 0.846 0.154 0.000
Pm 0.427 0.573 0.500
Pm 0.573 0.427 0.500
Dy 0.285 0.715 0.500
Dy 0.715 0.285 0.500

=====

AcPm8Dy2 | GGA-PBE | relaxed

Output
Polymorph energy (0 for the lowest one) ... 0.00 eV per formula unit
Total moment ... 0.00 μB/cell

Cell lengths 9.566, 9.566, 9.566 Å; angles 145.79, 127.12, 64.50 degrees
Positions (direct):
Ac 0.000 0.000 0.000
Pm 0.153 0.855 0.298
Pm 0.161 0.661 0.500
Pm 0.298 0.500 0.798
Pm 0.443 0.145 0.298
Pm 0.557 0.855 0.702
Pm 0.702 0.500 0.202
Pm 0.839 0.339 0.500
Pm 0.847 0.145 0.702
Dy 0.300 0.300 0.000
Dy 0.700 0.700 0.000

=====

Ac2Pm2Dy7 | GGA-PBE | relaxed

Output
Total moment ... 0.00 μB/cell

Cell lengths 10.709, 10.709, 3.723 Å; angles 99.96, 99.96, 67.95 degrees
Positions (direct):
Ac 0.193 0.193 0.193
Ac 0.807 0.807 0.807
Pm 0.247 0.753 0.000
Pm 0.753 0.247 0.000
Dy 0.000 0.000 0.500
Dy 0.099 0.566 0.332
Dy 0.391 0.391 0.889
Dy 0.434 0.901 0.668
Dy 0.566 0.099 0.332
Dy 0.609 0.609 0.111
Dy 0.901 0.434 0.668

=====

Ac3PmDy3 | GGA-PBE | relaxed

Output
Total moment ... 0.00 μB/cell

Cell lengths 8.401, 8.401, 8.401 Å; angles 72.45, 72.45, 72.45 degrees
Positions (direct):
Ac 0.176 0.616 0.456
Ac 0.384 0.544 0.824
Ac 0.456 0.176 0.616
Ac 0.544 0.824 0.384
Ac 0.616 0.456 0.176
Ac 0.824 0.384 0.544
Pm 0.243 0.243 0.243
Pm 0.757 0.757 0.757
Dy 0.032 0.315 0.900
Dy 0.100 0.968 0.685
Dy 0.315 0.900 0.032
Dy 0.685 0.100 0.968
Dy 0.900 0.032 0.315
Dy 0.968 0.685 0.100

=====

AcPm12Dy6 | GGA-PBE | relaxed

Output
Total moment ... 0.00 μB/cell

Cell lengths 8.877, 8.877, 8.877 Å; angles 99.26, 99.26, 99.26 degrees
Positions (direct):
Ac 0.000 0.000 0.000
Pm 0.081 0.354 0.354
Pm 0.241 0.500 0.759
Pm 0.241 0.759 0.500
Pm 0.354 0.081 0.354
Pm 0.354 0.354 0.081
Pm 0.500 0.241 0.759
Pm 0.500 0.759 0.241
Pm 0.646 0.646 0.919
Pm 0.646 0.919 0.646
Pm 0.759 0.241 0.500
Pm 0.759 0.500 0.241
Pm 0.919 0.646 0.646
Dy 0.102 0.102 0.657
Dy 0.102 0.657 0.102
Dy 0.343 0.898 0.898
Dy 0.657 0.102 0.102
Dy 0.898 0.343 0.898
Dy 0.898 0.898 0.343

=====

Number 1: ΔH_f (0 K) 0.0424 eV/atom, E_tot -4.32 eV/atom. Number 2: ΔH_f (0 K) 0.0586 eV/atom, E_tot -4.37 eV/atom. Number 3: ΔH_f (0 K) 0.1231 eV/atom, E_tot -4.54 eV/atom. Number 4: ΔH_f (0 K) 0.1302 eV/atom, E_tot -4.41 eV/atom. Number 5: ΔH_f (0 K) 0.0596 eV/atom, E_tot -4.35 eV/atom. Number 6: ΔH_f (0 K) 0.1941 eV/atom, E_tot -4.48 eV/atom.